DFT (PBE) results for a relaxed Ti5Co12W3 crystal.

Calculated values
VASP energy, eV per atom: -7.51

Lattice parameters (Å, degrees): 11.8223 11.8223 11.8223 109.47 109.47 109.47
Closest atoms and distances in Å follow each position.
Fractional coordinates of all 80 atoms:
W (0.7500, 0.3750, 0.1250)  8 Co 2.35-2.52
W (0.8750, 0.7500, 0.1250)  8 Co 2.35-2.52
W (0.3750, 0.7500, 0.6250)  8 Co 2.35-2.52
W (0.2500, 0.1250, 0.3750)  8 Co 2.35-2.52
W (0.8750, 0.1250, 0.2500)  8 Co 2.35-2.52
W (0.3750, 0.6250, 0.2500)  8 Co 2.35-2.52
W (0.6250, 0.3750, 0.7500)  8 Co 2.35-2.52
W (0.1250, 0.8750, 0.7500)  8 Co 2.35-2.52
W (0.7500, 0.8750, 0.6250)  8 Co 2.35-2.52
W (0.6250, 0.2500, 0.3750)  8 Co 2.35-2.52
W (0.1250, 0.2500, 0.8750)  8 Co 2.35-2.52
W (0.2500, 0.6250, 0.8750)  8 Co 2.35-2.52
Ti (0.1250, 0.3750, 0.2500)  4 Co 2.35
Ti (0.0000, 0.5000, 0.0000)  6 Co 2.34
Ti (0.0000, 0.0000, 0.0000)  6 Co 2.34
Ti (0.3750, 0.2500, 0.1250)  4 Co 2.35
Ti (0.5000, 0.0000, 0.5000)  6 Co 2.34
Ti (0.5000, 0.5000, 0.0000)  6 Co 2.34
Ti (0.1250, 0.7500, 0.3750)  4 Co 2.35
Ti (0.7500, 0.1250, 0.8750)  4 Co 2.35
Ti (0.7500, 0.6250, 0.3750)  4 Co 2.35
Ti (0.3750, 0.1250, 0.7500)  4 Co 2.35
Ti (0.6250, 0.8750, 0.2500)  4 Co 2.35
Ti (0.5000, 0.5000, 0.5000)  6 Co 2.34
Ti (0.5000, 0.0000, 0.0000)  6 Co 2.34
Ti (0.0000, 0.0000, 0.5000)  6 Co 2.34
Ti (0.2500, 0.3750, 0.6250)  4 Co 2.35
Ti (0.2500, 0.8750, 0.1250)  4 Co 2.35
Ti (0.0000, 0.5000, 0.5000)  6 Co 2.34
Ti (0.8750, 0.2500, 0.6250)  4 Co 2.35
Ti (0.6250, 0.7500, 0.8750)  4 Co 2.35
Ti (0.8750, 0.6250, 0.7500)  4 Co 2.35
Co (0.7312, 0.1421, 0.0709)  2 Ti 2.34-2.35, 2 W 2.35-2.52, 1 Co 2.42
Co (0.3398, 0.5709, 0.4288)  2 Ti 2.34-2.35, 2 W 2.35-2.52, 1 Co 2.42
Co (0.9291, 0.3579, 0.2688)  2 Ti 2.34-2.35, 2 W 2.35-2.52, 1 Co 2.42
Co (0.5709, 0.2312, 0.1421)  2 Ti 2.34-2.35, 2 W 2.35-2.52, 1 Co 2.42
Co (0.5890, 0.7312, 0.6602)  2 Ti 2.34-2.35, 2 W 2.35-2.52, 1 Co 2.42
Co (0.9291, 0.5712, 0.1602)  2 Ti 2.34-2.35, 2 W 2.35-2.52, 1 Co 2.42
Co (0.3398, 0.7688, 0.4110)  2 Ti 2.34-2.35, 2 W 2.35-2.52, 1 Co 2.42
Co (0.0712, 0.9110, 0.1421)  2 Ti 2.34-2.35, 2 W 2.35-2.52, 1 Co 2.42
Co (0.5712, 0.9291, 0.6602)  2 Ti 2.34-2.35, 2 W 2.35-2.52, 1 Co 2.42
Co (0.7312, 0.5890, 0.1602)  2 Ti 2.34-2.35, 2 W 2.35-2.52, 1 Co 2.42
Co (0.7688, 0.4291, 0.3579)  2 Ti 2.34-2.35, 2 W 2.35-2.52, 1 Co 2.42
Co (0.8398, 0.9288, 0.0709)  2 Ti 2.34-2.35, 2 W 2.35-2.52, 1 Co 2.42
Co (0.1421, 0.7312, 0.5709)  2 Ti 2.34-2.35, 2 W 2.35-2.52, 1 Co 2.42
Co (0.3579, 0.4288, 0.0890)  2 Ti 2.34-2.35, 2 W 2.35-2.52, 1 Co 2.42
Co (0.0890, 0.9288, 0.3579)  2 Ti 2.34-2.35, 2 W 2.35-2.52, 1 Co 2.42
Co (0.4110, 0.1421, 0.5712)  2 Ti 2.34-2.35, 2 W 2.35-2.52, 1 Co 2.42
Co (0.0890, 0.1602, 0.2312)  2 Ti 2.34-2.35, 2 W 2.35-2.52, 1 Co 2.42
Co (0.4291, 0.6602, 0.0712)  2 Ti 2.34-2.35, 2 W 2.35-2.52, 1 Co 2.42
Co (0.8398, 0.9110, 0.2688)  2 Ti 2.34-2.35, 2 W 2.35-2.52, 1 Co 2.42
Co (0.1421, 0.4110, 0.0712)  2 Ti 2.34-2.35, 2 W 2.35-2.52, 1 Co 2.42
Co (0.3579, 0.9291, 0.7688)  2 Ti 2.34-2.35, 2 W 2.35-2.52, 1 Co 2.42
Co (0.5712, 0.6421, 0.4110)  2 Ti 2.34-2.35, 2 W 2.35-2.52, 1 Co 2.42
Co (0.9288, 0.8398, 0.5709)  2 Ti 2.34-2.35, 2 W 2.35-2.52, 1 Co 2.42
Co (0.7688, 0.3398, 0.9110)  2 Ti 2.34-2.35, 2 W 2.35-2.52, 1 Co 2.42
Co (0.4288, 0.3579, 0.5890)  2 Ti 2.34-2.35, 2 W 2.35-2.52, 1 Co 2.42
Co (0.0712, 0.1602, 0.4291)  2 Ti 2.34-2.35, 2 W 2.35-2.52, 1 Co 2.42
Co (0.2312, 0.6602, 0.0890)  2 Ti 2.34-2.35, 2 W 2.35-2.52, 1 Co 2.42
Co (0.1602, 0.0890, 0.7312)  2 Ti 2.34-2.35, 2 W 2.35-2.52, 1 Co 2.42
Co (0.6421, 0.0709, 0.2312)  2 Ti 2.34-2.35, 2 W 2.35-2.52, 1 Co 2.42
Co (0.8579, 0.5890, 0.9288)  2 Ti 2.34-2.35, 2 W 2.35-2.52, 1 Co 2.42
Co (0.5709, 0.3398, 0.9288)  2 Ti 2.34-2.35, 2 W 2.35-2.52, 1 Co 2.42
Co (0.5890, 0.8579, 0.4288)  2 Ti 2.34-2.35, 2 W 2.35-2.52, 1 Co 2.42
Co (0.9110, 0.8398, 0.7688)  2 Ti 2.34-2.35, 2 W 2.35-2.52, 1 Co 2.42
Co (0.9110, 0.0712, 0.6421)  2 Ti 2.34-2.35, 2 W 2.35-2.52, 1 Co 2.42
Co (0.8579, 0.2688, 0.4291)  2 Ti 2.34-2.35, 2 W 2.35-2.52, 1 Co 2.42
Co (0.1602, 0.0712, 0.9291)  2 Ti 2.34-2.35, 2 W 2.35-2.52, 1 Co 2.42
Co (0.6421, 0.5712, 0.9110)  2 Ti 2.34-2.35, 2 W 2.35-2.52, 1 Co 2.42
Co (0.4288, 0.0709, 0.3398)  2 Ti 2.34-2.35, 2 W 2.35-2.52, 1 Co 2.42
Co (0.2688, 0.4110, 0.8398)  2 Ti 2.34-2.35, 2 W 2.35-2.52, 1 Co 2.42
Co (0.2312, 0.5709, 0.6421)  2 Ti 2.34-2.35, 2 W 2.35-2.52, 1 Co 2.42
Co (0.9288, 0.0890, 0.8579)  2 Ti 2.34-2.35, 2 W 2.35-2.52, 1 Co 2.42
Co (0.6602, 0.2312, 0.5890)  2 Ti 2.34-2.35, 2 W 2.35-2.52, 1 Co 2.42
Co (0.4291, 0.7688, 0.8579)  2 Ti 2.34-2.35, 2 W 2.35-2.52, 1 Co 2.42
Co (0.0709, 0.4288, 0.8398)  2 Ti 2.34-2.35, 2 W 2.35-2.52, 1 Co 2.42
Co (0.4110, 0.2688, 0.3398)  2 Ti 2.34-2.35, 2 W 2.35-2.52, 1 Co 2.42
Co (0.0709, 0.6421, 0.7312)  2 Ti 2.34-2.35, 2 W 2.35-2.52, 1 Co 2.42
Co (0.6602, 0.4291, 0.5712)  2 Ti 2.34-2.35, 2 W 2.35-2.52, 1 Co 2.42
Co (0.2688, 0.8579, 0.9291)  2 Ti 2.34-2.35, 2 W 2.35-2.52, 1 Co 2.42



DFT (PBE) results for a relaxed KLaFe3 crystal.

Calculated values
E above lowest polymorph, meV/atom: 299

Lattice parameters (Å, degrees): 4.9584 4.9584 4.9584 90.00 90.00 90.00
Closest atoms and distances in Å follow each position.
Fractional coordinates of all 5 atoms:
K (0.0000, 0.0000, 0.0000)  6 Fe 2.48
Fe (0.0000, 0.5000, 0.0000)  2 K 2.48
Fe (0.0000, 0.0000, 0.5000)  2 K 2.48
Fe (0.5000, 0.0000, 0.0000)  2 K 2.48
La (0.5000, 0.5000, 0.5000)  12 Fe 3.51



DFT (PBE) results for a relaxed Cs2NaSn2I7 crystal.

Calculated values
Raw formation energy, eV/atom: -0.91

Lattice parameters (Å, degrees): 6.2380 6.2380 16.3642 78.90 78.90 90.01
Closest atoms and distances in Å follow each position.
Fractional coordinates of all 12 atoms:
Cs (0.8218, 0.8218, 0.3550)  5 I 3.87-4.12
Cs (0.1782, 0.1782, 0.6450)  5 I 3.87-4.12
Na (0.0000, 0.0000, 0.0000)  12 I 4.25-4.41
Sn (0.5989, 0.5989, 0.7994)  6 I 3.13-3.16
Sn (0.4011, 0.4011, 0.2006)  6 I 3.13-3.16
I (0.5000, 0.5000, 0.0000)  2 Sn 3.16
I (0.3020, 0.3020, 0.3991)  1 Sn 3.13
I (0.6980, 0.6980, 0.6009)  1 Sn 3.13
I (0.9085, 0.4102, 0.1852)  2 Sn 3.13
I (0.4102, 0.9085, 0.1852)  2 Sn 3.13
I (0.5898, 0.0915, 0.8148)  2 Sn 3.13
I (0.0915, 0.5898, 0.8148)  2 Sn 3.13



no.,M_tot (μB/atom)
1,0.0000
2,1.6237
3,0.0000